Sr2YCr | PBEsol | optimized geometry

Results
The value obtained for the formation enthalpy at 0 K is 625 meV per atom. The calculation puts the calculated density at 4.1 g/cm³. Its space-group type is No. 216. The calculation puts the total magnetization at 4.371 μB/cell.

POSCAR file:
```
Sr2YCr
1.0
0.0000 4.0110 4.0110
4.0110 0.0000 4.0110
4.0110 4.0110 0.0000
Sr Y Cr
2 1 1
Direct
0.0000 0.0000 0.0000 Sr
0.2500 0.2500 0.2500 Sr
0.5000 0.5000 0.5000 Y
0.7500 0.7500 0.7500 Cr
```

=====

LaTeRh3 | PBEsol | optimized geometry

Results
As for the formation energy without anion corrections: 96 kJ per mole of atoms. The calculation puts the calculated density at 8.5 g/cm³. Its space-group type is No. 221. The calculation puts the total magnetization at 0.001 μB/cell.

POSCAR file:
```
LaTeRh3
1.0
4.8286 0.0000 0.0000
0.0000 4.8286 0.0000
0.0000 0.0000 4.8286
La Te Rh
1 1 3
Direct
0.0000 0.0000 0.0000 La
0.5000 0.5000 0.5000 Te
0.0000 0.0000 0.5000 Rh
0.0000 0.5000 0.0000 Rh
0.5000 0.0000 0.0000 Rh
```

=====

Si2HgP2 | PBEsol | optimized geometry

Results
As for the formation energy without anion corrections: 8 kJ per mole of atoms. The calculation puts the calculated density at 6.2 g/cm³. Its space-group type is No. 139. The calculation puts the total magnetization at 0.000 μB/cell.

POSCAR file:
```
Si2HgP2
1.0
-2.2486 2.2486 4.1908
2.2486 -2.2486 4.1908
2.2486 2.2486 -4.1908
Si Hg P
2 1 2
Direct
0.1453 0.1453 0.0000 Si
0.8547 0.8547 0.0000 Si
0.5000 0.5000 0.0000 Hg
0.2500 0.7500 0.5000 P
0.7500 0.2500 0.5000 P
```

=====

RbSbIrRu2 | PBEsol | optimized geometry

Results
As for the formation energy without anion corrections: 132 kJ per mole of atoms. The calculation puts the calculated density at 8.4 g/cm³. Its space-group type is No. 123. The calculation puts the total magnetization at 0.003 μB/cell.

POSCAR file:
```
RbSbIrRu2
1.0
4.8408 0.0000 0.0000
0.0000 4.8408 0.0000
0.0000 0.0000 5.0635
Rb Sb Ir Ru
1 1 1 2
Direct
0.0000 0.0000 0.0000 Rb
0.5000 0.5000 0.0000 Sb
0.5000 0.5000 0.5000 Ir
0.0000 0.5000 0.5000 Ru
0.5000 0.0000 0.5000 Ru
```

=====

LaNi2 | PBEsol | optimized geometry

Results
The value obtained for the formation enthalpy at 0 K is -275 meV per atom. The calculation puts the calculated density at 7.8 g/cm³. Its space-group type is No. 141. The calculation puts the total magnetization at 0.001 μB/cell.

POSCAR file:
```
LaNi2
1.0
-1.9737 1.9737 7.0475
1.9737 -1.9737 7.0475
1.9737 1.9737 -7.0475
La Ni
2 4
Direct
0.3750 0.6250 0.7500 La
0.6250 0.3750 0.2500 La
0.0429 0.7929 0.2500 Ni
0.2071 0.9571 0.2500 Ni
0.7929 0.0429 0.7500 Ni
0.9571 0.2071 0.7500 Ni
```

=====

AgWSe2N | PBEsol | optimized geometry

Results
As for the formation energy without anion corrections: 171 kJ per mole of atoms. The calculation puts the calculated density at 8.1 g/cm³. Its space-group type is No. 123. The calculation puts the total magnetization at 4.651 μB/cell.

POSCAR file:
```
AgWSe2N
1.0
5.0417 0.0000 0.0000
0.0000 5.0417 0.0000
0.0000 0.0000 3.7401
Ag W Se N
1 1 2 1
Direct
0.0000 0.0000 0.0000 Ag
0.5000 0.5000 0.5000 W
0.0000 0.5000 0.0000 Se
0.5000 0.0000 0.0000 Se
0.0000 0.0000 0.5000 N
```

=====

Please write out number 2 again, unchanged.
LaTeRh3 | PBEsol | optimized geometry

Results
As for the formation energy without anion corrections: 96 kJ per mole of atoms. The calculation puts the calculated density at 8.5 g/cm³. Its space-group type is No. 221. The calculation puts the total magnetization at 0.001 μB/cell.

POSCAR file:
```
LaTeRh3
1.0
4.8286 0.0000 0.0000
0.0000 4.8286 0.0000
0.0000 0.0000 4.8286
La Te Rh
1 1 3
Direct
0.0000 0.0000 0.0000 La
0.5000 0.5000 0.5000 Te
0.0000 0.0000 0.5000 Rh
0.0000 0.5000 0.0000 Rh
0.5000 0.0000 0.0000 Rh
```

=====

Q: The lowest calculated density belongs to which entry?
A: Sr2YCr

=====

Q: Among the records above, which one has the highest total magnetization?
A: AgWSe2N